! SrSi2Pt5, optimized geometry, DFT PBE; values from VASP
! Calculated volume in A^3/atom: 17.5
! SG: No. 71
! Final energy in eV per cell: -49.357
! Total magnetization in μB/cell: 0.0
&SYSTEM
  ibrav = 0, nat = 8, ntyp = 3
/
ATOMIC_SPECIES
Sr 87.62 Sr.upf
Si 28.09 Si.upf
Pt 195.08 Pt.upf
CELL_PARAMETERS angstrom
-1.985 3.534 4.976
1.985 -3.534 4.976
1.985 3.534 -4.976
ATOMIC_POSITIONS crystal
Sr 0.000 0.000 0.000
Si 0.259 0.759 0.500
Si 0.741 0.241 0.500
Pt 0.149 0.347 0.802
Pt 0.454 0.653 0.802
Pt 0.500 0.000 0.500
Pt 0.546 0.347 0.198
Pt 0.851 0.653 0.198